1.
# Er4RuRh

A relaxed structure of Er4RuRh (PBE, the Alexandria database).

Values from the calculation:
The final energy comes out at -76.43 eV for the cell shown. As for the excess energy over the best structure of this formula in the dataset: 0.0000 eV/atom. Its formation enthalpy at 0 K is -556 meV/atom. The value obtained for the total magnetic moment is 0.0 μB/f.u.

Unit cell a=6.2613 b=7.4068 c=7.7991 alpha=114.06 beta=108.79 gamma=99.62
Fractional coordinates of all 12 atoms:
Er 0.3543 0.9539 0.6479
Er 0.6320 0.3666 0.1270
Er 0.3680 0.6334 0.8730
Er 0.2064 0.3060 0.3521
Er 0.9950 0.7604 0.1270
Er 0.0050 0.2396 0.8730
Er 0.7936 0.6940 0.6479
Er 0.6457 0.0461 0.3521
Ru 0.7494 0.9994 0.9988
Ru 0.2506 0.0006 0.0012
Rh 0.6142 0.3642 0.7284
Rh 0.3858 0.6358 0.2716

2.
# Er4RuRh

A relaxed structure of Er4RuRh (PBE, the Alexandria database).

Values from the calculation:
The final energy comes out at -74.76 eV for the cell shown. As for the excess energy over the best structure of this formula in the dataset: 0.1392 eV/atom. Its formation enthalpy at 0 K is -417 meV/atom. The value obtained for the total magnetic moment is 0.0 μB/f.u.

Unit cell a=7.5831 b=7.5831 c=7.5831 alpha=107.20 beta=107.20 gamma=114.11
Fractional coordinates of all 12 atoms:
Er 0.7536 0.0549 0.3013
Er 0.8049 0.0036 0.8013
Er 0.2023 0.0036 0.1987
Er 0.7536 0.4523 0.6987
Er 0.2466 0.9479 0.7013
Er 0.2953 0.4966 0.7987
Er 0.2466 0.5453 0.2987
Er 0.6979 0.4966 0.2013
Rh 0.7496 0.7496 0.0000
Rh 0.4996 0.9996 0.5000
Ru 0.0000 0.5000 0.5000
Ru 0.2500 0.2500 0.0000

3.
# Er7Ru2Rh2

A relaxed structure of Er7Ru2Rh2 (PBE, the Alexandria database).

Values from the calculation:
The final energy comes out at -68.69 eV for the cell shown. Its formation enthalpy at 0 K is -317 meV/atom. The value obtained for the total magnetic moment is 0.0 μB/f.u.

Unit cell a=6.4225 b=6.7971 c=6.4225 alpha=90.08 beta=106.19 gamma=89.92
Fractional coordinates of all 11 atoms:
Er 0.9997 0.2742 0.5002
Er 0.0000 0.0000 0.0000
Er 0.4998 0.2742 0.0003
Er 0.4997 0.2627 0.5003
Er 0.5002 0.7258 0.9997
Er 0.5003 0.7373 0.4997
Er 0.0003 0.7258 0.4998
Ru 0.8229 0.5000 0.8229
Ru 0.1771 0.5000 0.1771
Rh 0.2836 0.0000 0.7164
Rh 0.7164 0.0000 0.2836

4.
# Er2Ru3Rh

A relaxed structure of Er2Ru3Rh (PBE, the Alexandria database).

Values from the calculation:
The final energy comes out at -47.01 eV for the cell shown. Its formation enthalpy at 0 K is -451 meV/atom. The value obtained for the total magnetic moment is 0.0 μB/f.u.

Unit cell a=5.2193 b=5.2193 c=5.4188 alpha=89.99 beta=118.83 gamma=119.97
Fractional coordinates of all 6 atoms:
Ru 0.0000 0.0000 0.5000
Ru 0.5000 0.5000 0.5000
Ru 0.5000 0.0000 0.5000
Rh 0.0000 0.0000 0.0000
Er 0.2440 0.6221 0.8661
Er 0.7560 0.3779 0.1339

5.
# ErRuRh

A relaxed structure of ErRuRh (PBE, the Alexandria database).

Values from the calculation:
The final energy comes out at -66.92 eV for the cell shown. Its formation enthalpy at 0 K is -372 meV/atom. The value obtained for the total magnetic moment is 0.0 μB/f.u.

Unit cell a=4.1118 b=6.8149 c=6.8149 alpha=120.00 beta=90.00 gamma=90.00
Fractional coordinates of all 9 atoms:
Ru 0.5000 0.7598 0.0000
Ru 0.5000 0.0000 0.7598
Ru 0.5000 0.2402 0.2402
Er 0.0000 0.0000 0.4051
Er 0.0000 0.5949 0.5949
Er 0.0000 0.4051 0.0000
Rh 0.5000 0.6667 0.3333
Rh 0.5000 0.3333 0.6667
Rh 0.0000 0.0000 0.0000

6.
# Er6Ru5Rh

A relaxed structure of Er6Ru5Rh (PBE, the Alexandria database).

Values from the calculation:
The final energy comes out at -86.99 eV for the cell shown. Its formation enthalpy at 0 K is -490 meV/atom. The value obtained for the total magnetic moment is 0.0 μB/f.u.

Unit cell a=4.7688 b=6.7627 c=7.5281 alpha=90.00 beta=71.53 gamma=90.00
Fractional coordinates of all 12 atoms:
Ru 0.3341 0.5000 0.3319
Ru 0.6661 0.0000 0.6679
Ru 0.3339 0.0000 0.3321
Ru 0.6659 0.5000 0.6681
Ru 0.0000 0.5000 0.0000
Er 0.1677 0.7489 0.6647
Er 0.5000 0.2520 0.0000
Er 0.5000 0.7480 0.0000
Er 0.8323 0.7489 0.3353
Er 0.8323 0.2511 0.3353
Er 0.1677 0.2511 0.6647
Rh 0.0000 0.0000 0.0000

7.
# Er6RuRh

A relaxed structure of Er6RuRh (PBE, the Alexandria database).

Values from the calculation:
The final energy comes out at -46.40 eV for the cell shown. Its formation enthalpy at 0 K is -299 meV/atom. The value obtained for the total magnetic moment is 0.0 μB/f.u.

Unit cell a=6.6495 b=6.6501 c=6.3352 alpha=58.34 beta=80.74 gamma=72.14
Fractional coordinates of all 8 atoms:
Er 0.7468 0.0812 0.3470
Er 0.7468 0.4281 0.6530
Er 0.2532 0.9188 0.6530
Er 0.7471 0.7518 0.0000
Er 0.2532 0.5719 0.3470
Er 0.2529 0.2482 0.0000
Ru 0.5000 0.5000 0.0000
Rh 0.0000 0.0000 0.0000

8.
# ErScRuRh

A relaxed structure of ErScRuRh (PBE, the Alexandria database).

Values from the calculation:
The final energy comes out at -30.48 eV for the cell shown. Its formation enthalpy at 0 K is -741 meV/atom. The value obtained for the total magnetic moment is 0.0 μB/f.u.

Unit cell a=4.6666 b=4.6666 c=4.6666 alpha=60.00 beta=60.00 gamma=60.00
Fractional coordinates of all 4 atoms:
Er 0.0000 0.0000 0.0000
Ru 0.7500 0.7500 0.7500
Rh 0.2500 0.2500 0.2500
Sc 0.5000 0.5000 0.5000

9.
# Er4SnRu2Rh

A relaxed structure of Er4SnRu2Rh (PBE, the Alexandria database).

Values from the calculation:
The final energy comes out at -52.75 eV for the cell shown. Its formation enthalpy at 0 K is -575 meV/atom. The value obtained for the total magnetic moment is 0.0 μB/f.u.

Unit cell a=4.8867 b=4.8867 c=8.5507 alpha=73.40 beta=73.40 gamma=60.00
Fractional coordinates of all 8 atoms:
Er 0.6175 0.6175 0.1474
Er 0.3825 0.3825 0.8526
Er 0.8701 0.8701 0.3896
Er 0.1299 0.1299 0.6104
Rh 0.5000 0.5000 0.5000
Ru 0.2507 0.2507 0.2480
Ru 0.7493 0.7493 0.7520
Sn 0.0000 0.0000 0.0000

10.
# TbErRuRh

A relaxed structure of TbErRuRh (PBE, the Alexandria database).

Values from the calculation:
The final energy comes out at -28.38 eV for the cell shown. Its formation enthalpy at 0 K is -639 meV/atom. The value obtained for the total magnetic moment is 0.0 μB/f.u.

Unit cell a=3.3972 b=4.8112 c=4.8201 alpha=90.00 beta=90.00 gamma=90.00
Fractional coordinates of all 4 atoms:
Ru 0.5000 0.0000 0.5000
Er 0.0000 0.0000 0.0000
Rh 0.5000 0.5000 0.0000
Tb 0.0000 0.5000 0.5000

11.
# TbErRuRh

A relaxed structure of TbErRuRh (PBE, the Alexandria database).

Values from the calculation:
The final energy comes out at -28.38 eV for the cell shown. Its formation enthalpy at 0 K is -640 meV/atom. The value obtained for the total magnetic moment is 0.0 μB/f.u.

Unit cell a=4.8139 b=4.8139 c=4.8139 alpha=60.00 beta=60.00 gamma=60.00
Fractional coordinates of all 4 atoms:
Er 0.0000 0.0000 0.0000
Ru 0.7500 0.7500 0.7500
Tb 0.5000 0.5000 0.5000
Rh 0.2500 0.2500 0.2500

12.
# ErThRuRh

A relaxed structure of ErThRuRh (PBE, the Alexandria database).

Values from the calculation:
The final energy comes out at -31.19 eV for the cell shown. Its formation enthalpy at 0 K is -645 meV/atom. The value obtained for the total magnetic moment is 0.0 μB/f.u.

Unit cell a=4.9236 b=4.9236 c=4.9236 alpha=60.00 beta=60.00 gamma=60.00
Fractional coordinates of all 4 atoms:
Rh 0.2500 0.2500 0.2500
Er 0.0000 0.0000 0.0000
Th 0.5000 0.5000 0.5000
Ru 0.7500 0.7500 0.7500

13.
# ErTiRuRh

A relaxed structure of ErTiRuRh (PBE, the Alexandria database).

Values from the calculation:
The final energy comes out at -31.62 eV for the cell shown. Its formation enthalpy at 0 K is -635 meV/atom. The value obtained for the total magnetic moment is 0.0 μB/f.u.

Unit cell a=4.5790 b=4.5790 c=4.5790 alpha=60.00 beta=60.00 gamma=60.00
Fractional coordinates of all 4 atoms:
Rh 0.0000 0.0000 0.0000
Er 0.7500 0.7500 0.7500
Ti 0.2500 0.2500 0.2500
Ru 0.5000 0.5000 0.5000

14.
# Er5Tl2RuRh2

A relaxed structure of Er5Tl2RuRh2 (PBE, the Alexandria database).

Values from the calculation:
The final energy comes out at -113.61 eV for the cell shown. Its formation enthalpy at 0 K is -528 meV/atom. The value obtained for the total magnetic moment is 0.0 μB/f.u.

Unit cell a=3.4673 b=11.6294 c=11.6294 alpha=90.00 beta=90.00 gamma=90.00
Fractional coordinates of all 20 atoms:
Er 0.5000 0.0663 0.8064
Er 0.5000 0.8064 0.9337
Er 0.5000 0.0000 0.5000
Er 0.5000 0.9337 0.1936
Er 0.5000 0.3064 0.5663
Er 0.5000 0.6936 0.4337
Er 0.5000 0.1936 0.0663
Er 0.5000 0.5000 0.0000
Er 0.5000 0.5663 0.6936
Er 0.5000 0.4337 0.3064
Rh 0.0000 0.6341 0.8659
Rh 0.0000 0.3659 0.1341
Rh 0.0000 0.8659 0.3659
Rh 0.0000 0.1341 0.6341
Tl 0.0000 0.3232 0.8232
Tl 0.0000 0.1768 0.3232
Tl 0.0000 0.6768 0.1768
Tl 0.0000 0.8232 0.6768
Ru 0.0000 0.0000 0.0000
Ru 0.0000 0.5000 0.5000

15.
# ErTlRuRh

A relaxed structure of ErTlRuRh (PBE, the Alexandria database).

Values from the calculation:
The final energy comes out at -24.59 eV for the cell shown. Its formation enthalpy at 0 K is -259 meV/atom. The value obtained for the total magnetic moment is 0.0 μB/f.u.

Unit cell a=4.7070 b=4.7070 c=4.7070 alpha=60.00 beta=60.00 gamma=60.00
Fractional coordinates of all 4 atoms:
Tl 0.7500 0.7500 0.7500
Rh 0.0000 0.0000 0.0000
Er 0.2500 0.2500 0.2500
Ru 0.5000 0.5000 0.5000

16.
# Er3Tm3Ru2Rh

A relaxed structure of Er3Tm3Ru2Rh (PBE, the Alexandria database).

Values from the calculation:
The final energy comes out at -57.07 eV for the cell shown. Its formation enthalpy at 0 K is -451 meV/atom. The value obtained for the total magnetic moment is 0.0 μB/f.u.

Unit cell a=4.2458 b=7.5276 c=7.5276 alpha=120.00 beta=90.00 gamma=90.00
Fractional coordinates of all 9 atoms:
Er 0.5000 0.2586 0.2586
Er 0.5000 0.7414 0.0000
Er 0.5000 0.0000 0.7414
Ru 0.5000 0.3333 0.6667
Ru 0.5000 0.6667 0.3333
Tm 0.0000 0.4129 0.0000
Tm 0.0000 0.0000 0.4129
Tm 0.0000 0.5871 0.5871
Rh 0.0000 0.0000 0.0000

17.
# ErURuRh

A relaxed structure of ErURuRh (PBE, the Alexandria database).

Values from the calculation:
The final energy comes out at -34.16 eV for the cell shown. Its formation enthalpy at 0 K is -421 meV/atom. The value obtained for the total magnetic moment is 2.0 μB/f.u.

Unit cell a=4.7986 b=4.7986 c=4.7986 alpha=60.00 beta=60.00 gamma=60.00
Fractional coordinates of all 4 atoms:
Rh 0.7500 0.7500 0.7500
Er 0.5000 0.5000 0.5000
U 0.0000 0.0000 0.0000
Ru 0.2500 0.2500 0.2500

18.
# ErZrRuRh

A relaxed structure of ErZrRuRh (PBE, the Alexandria database).

Values from the calculation:
The final energy comes out at -32.55 eV for the cell shown. As for the excess energy over the best structure of this formula in the dataset: 0.0376 eV/atom. Its formation enthalpy at 0 K is -702 meV/atom. The value obtained for the total magnetic moment is 0.0 μB/f.u.

Unit cell a=4.7145 b=4.7145 c=4.7145 alpha=60.00 beta=60.00 gamma=60.00
Fractional coordinates of all 4 atoms:
Er 0.5000 0.5000 0.5000
Ru 0.7500 0.7500 0.7500
Rh 0.2500 0.2500 0.2500
Zr 0.0000 0.0000 0.0000

19.
# ErZrRuRh

A relaxed structure of ErZrRuRh (PBE, the Alexandria database).

Values from the calculation:
The final energy comes out at -32.70 eV for the cell shown. As for the excess energy over the best structure of this formula in the dataset: 0.0000 eV/atom. Its formation enthalpy at 0 K is -740 meV/atom. The value obtained for the total magnetic moment is 0.0 μB/f.u.

Unit cell a=3.3442 b=3.3442 c=6.6534 alpha=90.00 beta=90.00 gamma=90.00
Fractional coordinates of all 4 atoms:
Ru 0.5000 0.5000 0.5904
Er 0.0000 0.0000 0.8567
Zr 0.0000 0.0000 0.3600
Rh 0.5000 0.5000 0.1208

20.
# Er4RhS3

A relaxed structure of Er4RhS3 (PBE, the Alexandria database).

Values from the calculation:
The final energy comes out at -51.03 eV for the cell shown. The value obtained for the uncorrected formation energy is -1.63 eV per atom. The value obtained for the total magnetic moment is 0.0 μB/f.u.

Unit cell a=3.8509 b=6.8474 c=6.8474 alpha=108.70 beta=90.00 gamma=90.00
Fractional coordinates of all 8 atoms:
Er 0.0000 0.2418 0.2418
Er 0.5000 0.7536 0.2464
Er 0.0000 0.7582 0.7582
Er 0.5000 0.2464 0.7536
Rh 0.5000 0.0000 0.0000
S 0.0000 0.0000 0.5000
S 0.5000 0.5000 0.5000
S 0.0000 0.5000 0.0000